(1)
The following is a GGA-PBE calculation of an optimized crystal structure of RbIn2Sn, from the Alexandria database.

The value obtained for the formation energy is -0.071 eV per atom. The value obtained for the spin magnetization is 0.00 μB per formula unit. The volume comes out at 134 Å³ per cell. Its total energy is -0.0986 Ha/atom. As for the density: 5.4 g cm⁻³.

The structure belongs to space group P4/mmm (No. 123); the cell edges are 3.946, 3.946 and 8.622 Å and the angles 90.00°, 90.00° and 90.00°. The inequivalent atoms are Rb at (0.000, 0.000, 0.000), In at (0.500, 0.500, 0.309) and Sn at (0.000, 0.000, 0.500).



(2)
The following is a GGA-PBE calculation of an optimized crystal structure of Rb2In5Sn4, from the Alexandria database.

The value obtained for the formation energy is -0.048 eV per atom. The value obtained for the spin magnetization is 0.00 μB per formula unit. The volume comes out at 1506 Å³ per cell. Its total energy is -0.1075 Ha/atom. As for the density: 5.4 g cm⁻³.

The structure belongs to space group Fmmm (No. 69); the cell edges are 7.140, 11.934 and 17.672 Å and the angles 90.00°, 90.00° and 90.00°. The inequivalent atoms are Rb at (0.000, 0.000, 0.137), In at (0.000, 0.000, 0.500), In at (0.250, 0.250, 0.000), In at (0.250, 0.250, 0.250) and Sn at (0.000, 0.131, 0.356).



- The lowest total energy belongs to which entry?
  Rb2In5Sn4



Repeat the first record exactly.
The following is a GGA-PBE calculation of an optimized crystal structure of RbIn2Sn, from the Alexandria database.

The value obtained for the formation energy is -0.071 eV per atom. The value obtained for the spin magnetization is 0.00 μB per formula unit. The volume comes out at 134 Å³ per cell. Its total energy is -0.0986 Ha/atom. As for the density: 5.4 g cm⁻³.

The structure belongs to space group P4/mmm (No. 123); the cell edges are 3.946, 3.946 and 8.622 Å and the angles 90.00°, 90.00° and 90.00°. The inequivalent atoms are Rb at (0.000, 0.000, 0.000), In at (0.500, 0.500, 0.309) and Sn at (0.000, 0.000, 0.500).